Record 1
# Li3Ca (GGA-PBEsol, relaxed)
data_Li3Ca
_chemical_formula_sum 'Li3 Ca1'
_symmetry_space_group_name_H-M 'P m m 2'
_symmetry_Int_Tables_number 25
_cell_length_a 3.534
_cell_length_b 5.259
_cell_length_c 5.665
_cell_angle_alpha 90.00
_cell_angle_beta 90.00
_cell_angle_gamma 90.00
loop_
_symmetry_equiv_pos_as_xyz
'x,y,z'
'-x,-y,z'
'-x,y,z'
'x,-y,z'
loop_
_atom_site_label
_atom_site_fract_x
_atom_site_fract_y
_atom_site_fract_z
Li1 0.000 0.000 0.000
Li2 0.000 0.500 0.317
Li3 0.500 0.500 0.876
Ca1 0.500 0.000 0.500
# ΔE to the lowest computed polymorph (meV/atom): 32
# DOS(E_F) (states/eV/atom): 0.55
# Calculated total energy (eV per atom): -1.94
# Energy of formation (eV/atom): 0.07
# Magnetization (Bohr magnetons per cell): 0.00

---

Record 2
# LiCa2 (GGA-PBEsol, relaxed)
data_LiCa2
_chemical_formula_sum 'Li4 Ca8'
_symmetry_space_group_name_H-M 'P n m a'
_symmetry_Int_Tables_number 62
_cell_length_a 7.194
_cell_length_b 5.527
_cell_length_c 10.336
_cell_angle_alpha 90.00
_cell_angle_beta 90.00
_cell_angle_gamma 90.00
loop_
_symmetry_equiv_pos_as_xyz
'x,y,z'
'-x,-y,-z'
'-x+1/2,-y,z+1/2'
'x+1/2,y,-z+1/2'
'x+1/2,-y+1/2,-z+1/2'
'-x+1/2,y+1/2,z+1/2'
'-x,y+1/2,-z'
'x,-y+1/2,z'
loop_
_atom_site_label
_atom_site_fract_x
_atom_site_fract_y
_atom_site_fract_z
Li1 0.196 0.250 0.104
Ca1 0.039 0.250 0.791
Ca2 0.165 0.250 0.431
# ΔE to the lowest computed polymorph (meV/atom): 18
# DOS(E_F) (states/eV/atom): 1.00
# Calculated total energy (eV per atom): -2.05
# Energy of formation (eV/atom): 0.03
# Magnetization (Bohr magnetons per cell): 0.00

---

Record 3
# Li4Ca5 (GGA-PBEsol, relaxed)
data_Li4Ca5
_chemical_formula_sum 'Li8 Ca10'
_symmetry_space_group_name_H-M 'P 63/m c m'
_symmetry_Int_Tables_number 193
_symmetry_space_group_name_Hall '-P 6c 2'
_cell_length_a 9.8508
_cell_length_b 9.8508
_cell_length_c 6.9326
_cell_angle_alpha 90.00
_cell_angle_beta 90.00
_cell_angle_gamma 120.00
loop_
_atom_site_label
_atom_site_fract_x
_atom_site_fract_y
_atom_site_fract_z
Li1 0.0000 0.0000 0.0000
Li2 0.0000 0.3710 0.2500
Ca1 0.0000 0.2892 0.7500
Ca2 0.3333 0.6667 0.0000
# DOS(E_F) (states/eV/atom): 0.88
# Calculated total energy (eV per atom): -2.01
# Energy of formation (eV/atom): 0.05
# Magnetization (Bohr magnetons per cell): 0.00

---

Record 4
# LiCa2 (GGA-PBEsol, relaxed)
data_LiCa2
_chemical_formula_sum 'Li4 Ca8'
_symmetry_space_group_name_H-M 'I 4/m c m'
_symmetry_Int_Tables_number 140
_symmetry_space_group_name_Hall '-I 4 2c'
_cell_length_a 8.012
_cell_length_b 8.012
_cell_length_c 6.418
_cell_angle_alpha 90.00
_cell_angle_beta 90.00
_cell_angle_gamma 90.00
loop_
_atom_site_label
_atom_site_fract_x
_atom_site_fract_y
_atom_site_fract_z
Li1 0.000 0.000 0.250
Ca1 0.162 0.338 0.000
# ΔE to the lowest computed polymorph (meV/atom): 0
# DOS(E_F) (states/eV/atom): 1.09
# Calculated total energy (eV per atom): -2.07
# Energy of formation (eV/atom): 0.01
# Magnetization (Bohr magnetons per cell): 0.00

---

> What is the magnetization in the third record?

0.00 Bohr magnetons per cell